Here is a geometry-optimized La2Tb2SmTm structure from Alexandria via LeMat-Bulk. Energies are from PBE.

abc: 7.104 5.725 9.898
angles: 90.00 90.00 90.00
Space group Pmma (No. 51)
Symmetry-distinct sites (fractional):
La 0.000 0.000 0.000 (multiplicity 2)
La 0.250 0.500 0.180 (multiplicity 2)
Tb 0.250 0.000 0.334 (multiplicity 2)
Tb 0.250 0.500 0.835 (multiplicity 2)
Sm 0.250 0.000 0.657 (multiplicity 2)
Tm 0.000 0.500 0.500 (multiplicity 2)

Summary:
M_tot: 0.0 μB per cell
calculated total energy: -27.93 eV/f.u.
volume: 403 Å³/cell
ΔE_f: 63 meV/atom